[1]
A plane-wave DFT calculation with PBE was carried out for crystalline Dy2TlI2 at its relaxed geometry.

Cell: 4.1728 4.1728 36.1571 Å, 90.00 90.00 120.00°
Space group R-3m (No. 166, hexagonal axes)
Unique sites:
Dy1 0.0000 0.0000 0.1127 (multiplicity 6)
Tl1 0.0000 0.0000 0.5000 (multiplicity 3)
I1 0.0000 0.0000 0.2757 (multiplicity 6)

***

[2]
A plane-wave DFT calculation with PBE was carried out for crystalline CaSbBr3 at its relaxed geometry.

Summary:
The energy above the lowest structure with this stoichiometry is 1.69 eV per formula unit.

Cell: 5.755 5.755 5.755 Å, 90.00 90.00 90.00°
Space group Pm-3m (No. 221)
Unique sites:
Ca1 0.000 0.000 0.000 (multiplicity 1)
Sb1 0.500 0.500 0.500 (multiplicity 1)
Br1 0.000 0.500 0.500 (multiplicity 3)

***

| no. | formation energy from raw total energies (eV per atom) |
| --- | --- |
| 1 | -0.89 |
| 2 | -0.45 |